No. 1
! ZrMn2 | the Alexandria database | PBE-GGA | optimized geometry; values from VASP
! Energy of formation: -0.18 eV/atom
! N(E_F): 3.3 states/eV/f.u.
! Spin magnetization: 1.28 μB/f.u.
&SYSTEM
  ibrav = 0, nat = 12, ntyp = 2
/
ATOMIC_SPECIES
Zr 91.22 Zr.upf
Mn 54.94 Mn.upf
ATOMIC_POSITIONS crystal
Zr 0.3333 0.6667 0.0638
Zr 0.3333 0.6667 0.4362
Zr 0.6667 0.3333 0.5638
Zr 0.6667 0.3333 0.9362
Mn 0.0000 0.0000 0.0000
Mn 0.0000 0.0000 0.5000
Mn 0.1698 0.3395 0.7500
Mn 0.1698 0.8302 0.7500
Mn 0.3395 0.1698 0.2500
Mn 0.6605 0.8302 0.7500
Mn 0.8302 0.1698 0.2500
Mn 0.8302 0.6605 0.2500
CELL_PARAMETERS angstrom
4.9255 0.0000 0.0000
-2.4627 4.2656 0.0000
0.0000 0.0000 8.2440

No. 2
! ZrMn | the Alexandria database | PBE-GGA | optimized geometry; values from VASP
! Energy of formation: 0.12 eV/atom
! N(E_F): 2.2 states/eV/f.u.
! Spin magnetization: 0.52 μB/f.u.
&SYSTEM
  ibrav = 0, nat = 6, ntyp = 2
/
ATOMIC_SPECIES
Zr 91.22 Zr.upf
Mn 54.94 Mn.upf
ATOMIC_POSITIONS crystal
Zr 0.0000 0.0000 0.0000
Zr 0.5312 0.2388 0.2923
Zr 0.9465 0.2388 0.7077
Mn 0.1718 0.7863 0.3856
Mn 0.4007 0.7863 0.6144
Mn 0.5192 0.5192 0.0000
CELL_PARAMETERS angstrom
-1.5648 5.8090 2.8616
1.5648 -5.8090 2.8616
1.5648 5.8090 -2.8616

No. 3
! Zr6Mn23 | the Alexandria database | PBE-GGA | optimized geometry; values from VASP
! Energy of formation: -0.10 eV/atom
! N(E_F): 38.4 states/eV/f.u.
! Spin magnetization: 8.17 μB/f.u.
&SYSTEM
  ibrav = 0, nat = 29, ntyp = 2
/
ATOMIC_SPECIES
Zr 91.22 Zr.upf
Mn 54.94 Mn.upf
ATOMIC_POSITIONS crystal
Zr 0.2036 0.2036 0.7964
Zr 0.2036 0.7964 0.2036
Zr 0.2036 0.7964 0.7964
Zr 0.7964 0.2036 0.2036
Zr 0.7964 0.2036 0.7964
Zr 0.7964 0.7964 0.2036
Mn 0.0000 0.0000 0.5000
Mn 0.0000 0.5000 0.0000
Mn 0.0000 0.5000 0.5000
Mn 0.1335 0.6222 0.6222
Mn 0.1750 0.1750 0.1750
Mn 0.1750 0.1750 0.4750
Mn 0.1750 0.4750 0.1750
Mn 0.3778 0.3778 0.3778
Mn 0.3778 0.3778 0.8665
Mn 0.3778 0.8665 0.3778
Mn 0.4750 0.1750 0.1750
Mn 0.5000 0.0000 0.0000
Mn 0.5000 0.0000 0.5000
Mn 0.5000 0.5000 0.0000
Mn 0.5000 0.5000 0.5000
Mn 0.5250 0.8250 0.8250
Mn 0.6222 0.1335 0.6222
Mn 0.6222 0.6222 0.1335
Mn 0.6222 0.6222 0.6222
Mn 0.8250 0.5250 0.8250
Mn 0.8250 0.8250 0.5250
Mn 0.8250 0.8250 0.8250
Mn 0.8665 0.3778 0.3778
CELL_PARAMETERS angstrom
0.0000 5.8052 5.8052
5.8052 0.0000 5.8052
5.8052 5.8052 0.0000

No. 4
! Zr2Mn17 | the Alexandria database | PBE-GGA | optimized geometry; values from VASP
! Energy of formation: -0.03 eV/atom
! N(E_F): 27.8 states/eV/f.u.
! Spin magnetization: 0.00 μB/f.u.
&SYSTEM
  ibrav = 0, nat = 19, ntyp = 2
/
ATOMIC_SPECIES
Zr 91.22 Zr.upf
Mn 54.94 Mn.upf
ATOMIC_POSITIONS crystal
Zr 0.1538 0.1538 0.1538
Zr 0.8462 0.8462 0.8462
Mn 0.0000 0.5000 0.5000
Mn 0.1559 0.1559 0.6564
Mn 0.1559 0.6564 0.1559
Mn 0.2040 0.5000 0.7960
Mn 0.2040 0.7960 0.5000
Mn 0.3436 0.8441 0.8441
Mn 0.4083 0.4083 0.4083
Mn 0.5000 0.0000 0.5000
Mn 0.5000 0.2040 0.7960
Mn 0.5000 0.5000 0.0000
Mn 0.5000 0.7960 0.2040
Mn 0.5917 0.5917 0.5917
Mn 0.6564 0.1559 0.1559
Mn 0.7960 0.2040 0.5000
Mn 0.7960 0.5000 0.2040
Mn 0.8441 0.3436 0.8441
Mn 0.8441 0.8441 0.3436
CELL_PARAMETERS angstrom
4.0560 2.3417 4.0507
-4.0560 2.3417 4.0507
0.0000 -4.6834 4.0507

Which value of spin magnetization does entry 4 give? 0.00 μB/f.u.

The lowest spin magnetization belongs to which entry? Zr2Mn17